Here is a relaxed structure of BaTaSi2 from the Alexandria database. Energies are from PBE-GGA.

Properties
The calculation puts the calculated density at 7.35 g/cm3. The uncorrected formation energy is 0.569 eV/atom. The magnetic moment is 0.000 μB per formula unit. The space-group type is I4/mmm, No. 139.

a b c (Å): 5.117 5.117 5.117
angles (deg): 126.04 126.04 79.82
Fractional coordinates of all 4 atoms:
Ba  0.750  0.250  0.500
Si  0.000  0.000  0.000
Si  0.500  0.500  0.000
Ta  0.250  0.750  0.500

Here is a relaxed structure of BaTa2Si from the Alexandria database. Energies are from PBE-GGA.

Properties
The calculation puts the calculated density at 9.23 g/cm3. The uncorrected formation energy is 0.512 eV/atom. The magnetic moment is 0.000 μB per formula unit. The space-group type is C2/m, No. 12.

a b c (Å): 5.623 5.623 5.915
angles (deg): 75.89 75.89 31.63
Fractional coordinates of all 4 atoms:
Ba  0.750  0.750  0.750
Si  0.250  0.250  0.250
Ta  0.955  0.955  0.095
Ta  0.545  0.545  0.405

Here is a relaxed structure of Ba3TaSi from the Alexandria database. Energies are from PBE-GGA.

Properties
The calculation puts the calculated density at 4.18 g/cm3. The uncorrected formation energy is 0.983 eV/atom. The magnetic moment is 5.178 μB per formula unit. The space-group type is Pm-3m, No. 221.

a b c (Å): 6.270 6.270 6.270
angles (deg): 90.00 90.00 90.00
Fractional coordinates of all 5 atoms:
Si  0.000  0.000  0.000
Ba  0.000  0.500  0.000
Ba  0.000  0.000  0.500
Ba  0.500  0.000  0.000
Ta  0.500  0.500  0.500

Here is a relaxed structure of BaTaSi2 from the Alexandria database. Energies are from PBE-GGA.

Properties
The calculation puts the calculated density at 6.42 g/cm3. The uncorrected formation energy is -0.122 eV/atom. The magnetic moment is 0.000 μB per formula unit. The space-group type is C2/m, No. 12.

a b c (Å): 4.710 4.710 9.221
angles (deg): 46.60 46.60 45.17
Fractional coordinates of all 4 atoms:
Ba  0.375  0.375  0.250
Si  0.985  0.985  0.867
Si  0.765  0.765  0.632
Ta  0.375  0.375  0.750

Here is a relaxed structure of BaTa2Si from the Alexandria database. Energies are from PBE-GGA.

Properties
The calculation puts the calculated density at 9.61 g/cm3. The uncorrected formation energy is 0.375 eV/atom. The magnetic moment is 0.000 μB per formula unit. The space-group type is P4/mmm, No. 123.

a b c (Å): 3.477 3.477 7.540
angles (deg): 90.00 90.00 90.00
Fractional coordinates of all 4 atoms:
Ba  0.500  0.500  0.250
Si  0.500  0.500  0.750
Ta  0.000  0.000  0.911
Ta  0.000  0.000  0.589

Here is a relaxed structure of BaTa2Si from the Alexandria database. Energies are from PBE-GGA.

Properties
The calculation puts the calculated density at 9.67 g/cm3. The uncorrected formation energy is 0.571 eV/atom. The magnetic moment is 0.000 μB per formula unit. The space-group type is Immm, No. 71.

a b c (Å): 6.448 6.448 6.448
angles (deg): 154.20 128.64 58.34
Fractional coordinates of all 4 atoms:
Ba  0.750  0.250  0.500
Si  0.250  0.750  0.500
Ta  0.048  0.048  0.000
Ta  0.452  0.452  0.000

Here is a relaxed structure of BaTa2Si from the Alexandria database. Energies are from PBE-GGA.

Properties
The calculation puts the calculated density at 9.18 g/cm3. The uncorrected formation energy is 0.232 eV/atom. The magnetic moment is 0.183 μB per formula unit. The space-group type is Pm, No. 6.

a b c (Å): 3.434 3.487 8.699
angles (deg): 66.25 90.00 90.00
Fractional coordinates of all 4 atoms:
Ba  0.000  0.479  0.520
Si  0.500  0.671  0.830
Ta  0.000  0.012  0.989
Ta  0.500  0.339  0.161

Here is a relaxed structure of BaTa2Si from the Alexandria database. Energies are from PBE-GGA.

Properties
The calculation puts the calculated density at 10.28 g/cm3. The uncorrected formation energy is 1.026 eV/atom. The magnetic moment is 0.000 μB per formula unit. The space-group type is Pmmm, No. 47.

a b c (Å): 3.529 5.145 4.693
angles (deg): 90.00 90.00 90.00
Fractional coordinates of all 4 atoms:
Ba  0.500  0.000  0.500
Si  0.000  0.500  0.500
Ta  0.000  0.000  0.000
Ta  0.500  0.500  0.000

Here is a relaxed structure of Ba4TaSi from the Alexandria database. Energies are from PBE-GGA.

Properties
The calculation puts the calculated density at 5.31 g/cm3. The uncorrected formation energy is 1.214 eV/atom. The magnetic moment is 4.017 μB per formula unit. The space-group type is F-43m, No. 216.

a b c (Å): 6.948 6.948 6.948
angles (deg): 60.00 60.00 60.00
Fractional coordinates of all 6 atoms:
Ba  0.874  0.375  0.375
Ba  0.375  0.375  0.874
Ba  0.375  0.874  0.375
Ba  0.375  0.375  0.375
Ta  0.000  0.000  0.000
Si  0.750  0.750  0.750

Here is a relaxed structure of Ba2TaSi from the Alexandria database. Energies are from PBE-GGA.

Properties
The calculation puts the calculated density at 6.61 g/cm3. The uncorrected formation energy is 0.885 eV/atom. The magnetic moment is 2.649 μB per formula unit. The space-group type is I4/mmm, No. 139.

a b c (Å): 6.077 6.077 6.077
angles (deg): 132.03 131.99 70.21
Fractional coordinates of all 4 atoms:
Ba  0.000  0.000  0.000
Ba  0.500  0.500  0.000
Si  0.750  0.250  0.500
Ta  0.250  0.750  0.500

Here is a relaxed structure of BaTaSi2 from the Alexandria database. Energies are from PBE-GGA.

Properties
The calculation puts the calculated density at 5.15 g/cm3. The uncorrected formation energy is 0.138 eV/atom. The magnetic moment is 0.000 μB per formula unit. The space-group type is I4_1/amd, No. 141.

a b c (Å): 5.380 5.380 9.170
angles (deg): 72.94 72.94 90.00
Fractional coordinates of all 8 atoms:
Si  0.875  0.125  0.250
Si  0.875  0.625  0.250
Si  0.375  0.125  0.750
Si  0.875  0.125  0.750
Ba  0.500  0.500  0.000
Ba  0.250  0.750  0.500
Ta  0.000  0.000  0.000
Ta  0.750  0.250  0.500

Here is a relaxed structure of BaTaSi2 from the Alexandria database. Energies are from PBE-GGA.

Properties
The calculation puts the calculated density at 7.32 g/cm3. The uncorrected formation energy is 0.628 eV/atom. The magnetic moment is 0.000 μB per formula unit. The space-group type is R3m, No. 160.

a b c (Å): 10.156 10.156 10.156
angles (deg): 17.75 17.75 17.75
Fractional coordinates of all 4 atoms:
Ba  0.743  0.743  0.743
Si  0.982  0.982  0.982
Si  0.255  0.255  0.255
Ta  0.520  0.520  0.520

Here is a relaxed structure of BaTa2Si from the Alexandria database. Energies are from PBE-GGA.

Properties
The calculation puts the calculated density at 8.60 g/cm3. The uncorrected formation energy is 0.464 eV/atom. The magnetic moment is 0.001 μB per formula unit. The space-group type is Imm2, No. 44.

a b c (Å): 8.161 8.161 8.161
angles (deg): 156.67 151.72 36.98
Fractional coordinates of all 4 atoms:
Ba  0.436  0.436  0.000
Si  0.239  0.739  0.500
Ta  0.101  0.101  0.000
Ta  0.724  0.224  0.500

Here is a relaxed structure of BaTaSi2 from the Alexandria database. Energies are from PBE-GGA.

Properties
The calculation puts the calculated density at 7.19 g/cm3. The uncorrected formation energy is -0.110 eV/atom. The magnetic moment is 0.000 μB per formula unit. The space-group type is P4/mmm, No. 123.

a b c (Å): 3.515 3.515 7.004
angles (deg): 90.00 90.00 90.00
Fractional coordinates of all 4 atoms:
Ba  0.500  0.500  0.750
Si  0.000  0.000  0.079
Si  0.000  0.000  0.421
Ta  0.500  0.500  0.250

Here is a relaxed structure of BaTa2Si from the Alexandria database. Energies are from PBE-GGA.

Properties
The calculation puts the calculated density at 10.88 g/cm3. The uncorrected formation energy is 1.033 eV/atom. The magnetic moment is 0.000 μB per formula unit. The space-group type is P4/mmm, No. 123.

a b c (Å): 3.759 4.627 4.627
angles (deg): 90.00 90.00 90.00
Fractional coordinates of all 4 atoms:
Ba  0.500  0.500  0.000
Si  0.500  0.000  0.500
Ta  0.000  0.000  0.000
Ta  0.000  0.500  0.500

Here is a relaxed structure of BaTaSi2 from the Alexandria database. Energies are from PBE-GGA.

Properties
The calculation puts the calculated density at 6.99 g/cm3. The uncorrected formation energy is 0.806 eV/atom. The magnetic moment is 0.000 μB per formula unit. The space-group type is I-4m2, No. 119.

a b c (Å): 5.776 5.776 5.776
angles (deg): 136.88 136.88 62.62
Fractional coordinates of all 4 atoms:
Ba  0.750  0.250  0.500
Si  0.000  0.000  0.000
Si  0.250  0.750  0.500
Ta  0.500  0.500  0.000

Here is a relaxed structure of Ba2TaSi from the Alexandria database. Energies are from PBE-GGA.

Properties
The calculation puts the calculated density at 7.06 g/cm3. The uncorrected formation energy is 0.843 eV/atom. The magnetic moment is 0.002 μB per formula unit. The space-group type is Cmmm, No. 65.

a b c (Å): 6.054 6.054 3.421
angles (deg): 90.01 90.01 114.80
Fractional coordinates of all 4 atoms:
Ba  0.000  0.000  0.000
Ba  0.500  0.500  0.000
Si  0.500  0.000  0.500
Ta  0.000  0.500  0.500

Here is a relaxed structure of BaTaSi2 from the Alexandria database. Energies are from PBE-GGA.

Properties
The calculation puts the calculated density at 7.30 g/cm3. The uncorrected formation energy is 0.550 eV/atom. The magnetic moment is 0.000 μB per formula unit. The space-group type is P4/mmm, No. 123.

a b c (Å): 5.416 5.416 2.905
angles (deg): 90.00 90.00 90.03
Fractional coordinates of all 4 atoms:
Ba  0.000  0.500  0.500
Si  0.000  0.000  0.000
Si  0.500  0.500  0.000
Ta  0.500  0.000  0.500

Here is a relaxed structure of BaTa2Si from the Alexandria database. Energies are from PBE-GGA.

Properties
The calculation puts the calculated density at 9.26 g/cm3. The uncorrected formation energy is 0.536 eV/atom. The magnetic moment is 0.000 μB per formula unit. The space-group type is R3m, No. 160.

a b c (Å): 9.498 9.498 9.498
angles (deg): 20.80 20.80 20.80
Fractional coordinates of all 4 atoms:
Ba  0.489  0.489  0.489
Si  0.734  0.734  0.734
Ta  0.007  0.007  0.007
Ta  0.270  0.270  0.270

Here is a relaxed structure of Ba2TaSi from the Alexandria database. Energies are from PBE-GGA.

Properties
The calculation puts the calculated density at 6.73 g/cm3. The uncorrected formation energy is 1.005 eV/atom. The magnetic moment is 0.000 μB per formula unit. The space-group type is R-3m, No. 166.

a b c (Å): 11.325 11.325 11.325
angles (deg): 17.86 17.86 17.86
Fractional coordinates of all 4 atoms:
Ba  0.997  0.997  0.997
Ba  0.503  0.503  0.503
Si  0.250  0.250  0.250
Ta  0.750  0.750  0.750

Here is a relaxed structure of BaTaSi2 from the Alexandria database. Energies are from PBE-GGA.

Properties
The calculation puts the calculated density at 7.27 g/cm3. The uncorrected formation energy is 0.533 eV/atom. The magnetic moment is 0.000 μB per formula unit. The space-group type is C2/m, No. 12.

a b c (Å): 7.520 5.415 2.976
angles (deg): 82.27 78.34 129.71
Fractional coordinates of all 4 atoms:
Ba  0.500  0.500  0.000
Si  0.000  0.000  0.000
Si  0.500  0.000  0.500
Ta  0.000  0.500  0.500

Here is a relaxed structure of BaTa4Si from the Alexandria database. Energies are from PBE-GGA.

Properties
The calculation puts the calculated density at 11.31 g/cm3. The uncorrected formation energy is 0.903 eV/atom. The magnetic moment is 0.000 μB per formula unit. The space-group type is F-43m, No. 216.

a b c (Å): 5.694 5.694 5.694
angles (deg): 60.00 60.00 60.00
Fractional coordinates of all 6 atoms:
Ba  0.750  0.750  0.750
Ta  0.871  0.376  0.376
Ta  0.376  0.376  0.871
Ta  0.376  0.871  0.376
Ta  0.376  0.376  0.376
Si  0.000  0.000  0.000

Here is a relaxed structure of Ba2TaSi from the Alexandria database. Energies are from PBE-GGA.

Properties
The calculation puts the calculated density at 6.23 g/cm3. The uncorrected formation energy is 0.354 eV/atom. The magnetic moment is 0.351 μB per formula unit. The space-group type is Imm2, No. 44.

a b c (Å): 6.677 6.677 6.677
angles (deg): 145.48 129.42 62.69
Fractional coordinates of all 4 atoms:
Ba  0.018  0.018  0.000
Ba  0.712  0.212  0.500
Si  0.452  0.452  0.000
Ta  0.317  0.817  0.500

Here is a relaxed structure of BaTaSi2 from the Alexandria database. Energies are from PBE-GGA.

Properties
The calculation puts the calculated density at 7.15 g/cm3. The uncorrected formation energy is 0.596 eV/atom. The magnetic moment is 0.949 μB per formula unit. The space-group type is Fm-3m, No. 225.

a b c (Å): 4.974 4.974 4.974
angles (deg): 60.00 60.00 60.00
Fractional coordinates of all 4 atoms:
Si  0.250  0.250  0.250
Si  0.750  0.750  0.750
Ba  0.000  0.000  0.000
Ta  0.500  0.500  0.500

Here is a relaxed structure of BaTaSi2 from the Alexandria database. Energies are from PBE-GGA.

Properties
The calculation puts the calculated density at 7.10 g/cm3. The uncorrected formation energy is 0.559 eV/atom. The magnetic moment is 0.000 μB per formula unit. The space-group type is Imm2, No. 44.

a b c (Å): 6.207 6.207 6.207
angles (deg): 151.86 128.58 59.65
Fractional coordinates of all 4 atoms:
Ba  0.251  0.751  0.500
Si  0.961  0.961  0.000
Si  0.744  0.244  0.500
Ta  0.543  0.543  0.000

Here is a relaxed structure of Ba2TaSi from the Alexandria database. Energies are from PBE-GGA.

Properties
The calculation puts the calculated density at 6.54 g/cm3. The uncorrected formation energy is 0.859 eV/atom. The magnetic moment is 1.674 μB per formula unit. The space-group type is Pmmm, No. 47.

a b c (Å): 3.323 4.793 7.711
angles (deg): 90.00 90.00 90.00
Fractional coordinates of all 4 atoms:
Ba  0.000  0.000  0.018
Ba  0.000  0.000  0.482
Si  0.500  0.500  0.250
Ta  0.500  0.500  0.750

Here is a relaxed structure of Ba2TaZnSi from the Alexandria database. Energies are from PBE-GGA.

Properties
The calculation puts the calculated density at 5.05 g/cm3. The uncorrected formation energy is 1.009 eV/atom. The magnetic moment is 0.001 μB per formula unit. The space-group type is P4/mmm, No. 123.

a b c (Å): 6.034 4.955 6.034
angles (deg): 90.00 90.00 90.00
Fractional coordinates of all 5 atoms:
Zn  0.000  0.000  0.000
Si  0.500  0.500  0.500
Ba  0.000  0.000  0.500
Ba  0.500  0.000  0.000
Ta  0.000  0.500  0.000

Here is a relaxed structure of BaZrTaSi2 from the Alexandria database. Energies are from PBE-GGA.

Properties
The calculation puts the calculated density at 5.61 g/cm3. The uncorrected formation energy is 0.653 eV/atom. The magnetic moment is 0.856 μB per formula unit. The space-group type is P4/mmm, No. 123.

a b c (Å): 5.193 5.111 5.193
angles (deg): 90.00 90.00 90.00
Fractional coordinates of all 5 atoms:
Si  0.000  0.000  0.500
Si  0.500  0.000  0.000
Ba  0.500  0.500  0.500
Zr  0.000  0.000  0.000
Ta  0.000  0.500  0.000

Here is a relaxed structure of BaTbSi4 from the Alexandria database. Energies are from PBE-GGA.

Properties
The calculation puts the calculated density at 4.88 g/cm3. The uncorrected formation energy is -0.409 eV/atom. The magnetic moment is 0.000 μB per formula unit. The space-group type is Pbam, No. 55.

a b c (Å): 4.455 7.935 15.730
angles (deg): 90.00 90.00 90.00
Fractional coordinates of all 24 atoms:
Ba  0.000  0.623  0.348
Ba  0.000  0.377  0.652
Ba  0.000  0.123  0.152
Ba  0.000  0.877  0.848
Tb  0.000  0.630  0.087
Tb  0.000  0.370  0.913
Tb  0.000  0.130  0.413
Tb  0.000  0.870  0.587
Si  0.500  0.778  0.192
Si  0.500  0.222  0.808
Si  0.500  0.278  0.308
Si  0.500  0.722  0.692
Si  0.500  0.872  0.043
Si  0.500  0.128  0.957
Si  0.500  0.372  0.457
Si  0.500  0.628  0.543
Si  0.500  0.879  0.455
Si  0.500  0.121  0.545
Si  0.500  0.379  0.045
Si  0.500  0.621  0.955
Si  0.500  0.974  0.307
Si  0.500  0.026  0.693
Si  0.500  0.474  0.193
Si  0.500  0.526  0.807